Density functional theory data (PBE-GGA) for a geometry-optimized Ce7MnBr12 structure.

Structure (extended XYZ):
```
20
Lattice="10.149 0.000 -2.089 -4.268 7.601 -3.602 -1.614 0.000 9.293" Properties=species:S:1:pos:R:3 pbc="T T T"
Br 0.671 2.980 2.932
Br -2.586 5.209 4.377
Br 2.815 5.866 -3.263
Br 0.366 6.944 1.973
Br 6.853 2.392 -0.775
Br 3.902 0.657 1.629
Br -0.282 4.094 -1.041
Br 7.777 1.114 3.191
Br 1.453 1.735 6.865
Br 4.550 3.507 4.643
Br 3.596 4.621 0.670
Br -3.510 6.487 0.412
Ce -2.417 6.059 -2.367
Ce 1.641 2.142 0.218
Ce -4.779 7.001 3.293
Ce 6.685 1.542 5.969
Ce 5.075 0.000 -1.044
Ce 9.046 0.600 0.309
Ce 2.626 5.459 3.385
Mn 0.000 0.000 0.000
```

Summary:
ΔE_f (raw) (eV per atom): -1.464